CsRb2CaCl6 | the Alexandria database | PBE-GGA | optimized geometry; energy relative to the elements, uncorrected = -1718.5 meV per atom; symmetry = Fm-3m, No. 225; calculated density = 2.17 g cm⁻³; electronic total energy = -33.1 eV per cell
1.0
-2.721 -6.672 -4.396
3.837 -5.164 5.464
-4.398 -6.086 3.856
Cs Cl Rb Ca
1 6 2 1
Direct
0.000 0.000 0.000
0.726 0.726 0.548
0.274 0.274 0.000
0.726 0.726 0.000
0.274 0.726 0.000
0.274 0.274 0.452
0.726 0.274 0.000
0.750 0.250 0.500
0.250 0.750 0.500
0.500 0.500 0.000

---

Cs2RbCa2Cl7 | the Alexandria database | PBE-GGA | optimized geometry; energy relative to the elements, uncorrected = -2218.8 meV per atom; symmetry = I4/mmm, No. 139; calculated density = 2.71 g cm⁻³; electronic total energy = -46.2 eV per cell
1.0
5.438 -0.004 0.015
0.003 5.438 0.015
2.680 2.676 14.092
Cl Ca Cs Rb
7 2 2 1
Direct
0.307 0.307 0.387
0.093 0.593 0.814
0.593 0.093 0.814
0.907 0.407 0.186
0.693 0.693 0.613
0.407 0.907 0.186
0.500 0.500 0.000
0.402 0.402 0.195
0.598 0.598 0.805
0.183 0.183 0.634
0.817 0.817 0.366
0.000 0.000 0.000

---

CsRbCaCl4 | the Alexandria database | PBE-GGA | optimized geometry; energy relative to the elements, uncorrected = -2174.8 meV per atom; symmetry = I4mm, No. 107; calculated density = 2.65 g cm⁻³; electronic total energy = -26.4 eV per cell
1.0
5.420 0.000 0.000
0.000 5.420 0.000
-2.710 -2.710 8.541
Cl Ca Cs Rb
4 1 1 1
Direct
0.997 0.497 0.994
0.162 0.162 0.323
0.497 0.997 0.994
0.842 0.842 0.683
0.001 0.001 0.002
0.644 0.644 0.289
0.357 0.357 0.715

---

Cs2CaReCl6 | the Alexandria database | PBE-GGA | optimized geometry; energy relative to the elements, uncorrected = -1398.2 meV per atom; symmetry = Fm-3m, No. 225; calculated density = 4.17 g cm⁻³; electronic total energy = -41.2 eV per cell
1.0
7.349 0.000 0.000
0.000 7.349 0.000
3.674 3.674 5.196
Cl Re Ca Cs
6 1 1 2
Direct
0.764 0.764 0.473
0.764 0.236 0.000
0.236 0.236 0.000
0.236 0.236 0.527
0.764 0.764 0.000
0.236 0.764 0.000
0.000 0.000 0.000
0.500 0.500 0.000
0.750 0.250 0.500
0.250 0.750 0.500

---

Cs2CaRuCl6 | the Alexandria database | PBE-GGA | optimized geometry; energy relative to the elements, uncorrected = -1571.2 meV per atom; symmetry = Fm-3m, No. 225; calculated density = 3.68 g cm⁻³; electronic total energy = -39.8 eV per cell
1.0
7.338 0.000 0.000
0.000 7.338 0.000
3.669 3.669 5.189
Cs Cl Ca Ru
2 6 1 1
Direct
0.750 0.250 0.500
0.250 0.750 0.500
0.764 0.764 0.471
0.764 0.764 0.000
0.764 0.236 0.000
0.236 0.764 0.000
0.236 0.236 0.529
0.236 0.236 0.000
0.500 0.500 0.000
0.000 0.000 0.000

---

Cs2CaSCl6 | the Alexandria database | PBE-GGA | optimized geometry; energy relative to the elements, uncorrected = -1471.2 meV per atom; symmetry = I4/mmm, No. 139; calculated density = 2.71 g cm⁻³; electronic total energy = -33.6 eV per cell
1.0
7.248 0.000 0.000
0.000 7.248 0.000
3.624 3.624 6.421
S Cs Ca Cl
1 2 1 6
Direct
0.500 0.500 0.000
0.250 0.750 0.500
0.750 0.250 0.500
0.000 0.000 0.000
0.729 0.271 0.000
0.206 0.206 0.587
0.271 0.729 0.000
0.271 0.271 0.000
0.729 0.729 0.000
0.794 0.794 0.413

---

CsCaSbCl6 | the Alexandria database | PBE-GGA | optimized geometry; energy relative to the elements, uncorrected = -1667.2 meV per atom; symmetry = P312, No. 149; calculated density = 2.47 g cm⁻³; electronic total energy = -33.1 eV per cell
1.0
7.158 0.000 0.000
3.579 6.199 0.000
0.000 0.000 7.695
Cl Ca Cs Sb
6 1 1 1
Direct
0.618 0.008 0.299
0.618 0.374 0.701
0.008 0.618 0.701
0.374 0.008 0.701
0.374 0.618 0.299
0.008 0.374 0.299
0.667 0.667 0.500
0.000 0.000 0.000
0.333 0.333 0.500

---

CsCa2SbCl8 | the Alexandria database | PBE-GGA | optimized geometry; energy relative to the elements, uncorrected = -1755.5 meV per atom; symmetry = P-1, No. 2; calculated density = 2.64 g cm⁻³; electronic total energy = -44.8 eV per cell
1.0
-2.696 -2.725 -5.481
-3.344 -4.267 3.627
-6.819 5.736 0.489
Ca Cs Cl Sb
2 1 8 1
Direct
0.500 0.500 0.747
0.500 0.500 0.253
0.000 0.000 0.500
0.832 0.249 0.798
0.596 0.727 0.500
0.169 0.752 0.798
0.168 0.751 0.202
0.404 0.273 0.500
0.831 0.248 0.202
0.325 0.260 0.000
0.675 0.740 0.000
0.000 0.000 0.000

---

Cs2CaSbCl6 | the Alexandria database | PBE-GGA | optimized geometry; energy relative to the elements, uncorrected = -1664.7 meV per atom; symmetry = I4/mmm, No. 139; calculated density = 2.95 g cm⁻³; electronic total energy = -35.6 eV per cell
1.0
7.660 0.000 0.000
0.000 7.660 0.000
3.830 3.830 6.153
Cl Cs Ca Sb
6 2 1 1
Direct
0.754 0.246 0.000
0.754 0.754 0.000
0.246 0.754 0.000
0.246 0.246 0.000
0.282 0.282 0.435
0.718 0.718 0.565
0.250 0.750 0.500
0.750 0.250 0.500
0.500 0.500 0.000
0.000 0.000 0.000

---

CsCa2SbCl | the Alexandria database | PBE-GGA | optimized geometry; energy relative to the elements, uncorrected = -657.4 meV per atom; symmetry = P4/mmm, No. 123; calculated density = 3.25 g cm⁻³; electronic total energy = -14.1 eV per cell
1.0
5.530 0.000 0.000
0.000 5.530 0.000
0.000 0.000 6.181
Cs Ca Cl Sb
1 2 1 1
Direct
0.000 0.000 0.500
0.500 0.000 0.000
0.000 0.500 0.000
0.000 0.000 0.000
0.500 0.500 0.500

---

CsCa2ScCl8 | the Alexandria database | PBE-GGA | optimized geometry; energy relative to the elements, uncorrected = -2168.0 meV per atom; symmetry = P-1, No. 2; calculated density = 2.43 g cm⁻³; electronic total energy = -52.0 eV per cell
1.0
-1.339 -6.368 -0.654
4.438 -0.645 -4.523
6.071 -1.928 6.198
Cs Ca Cl Sc
1 2 8 1
Direct
0.000 0.000 0.500
0.500 0.500 0.752
0.500 0.500 0.248
0.309 0.255 0.000
0.410 0.270 0.501
0.590 0.730 0.499
0.170 0.770 0.808
0.168 0.769 0.192
0.691 0.745 0.000
0.830 0.230 0.192
0.832 0.231 0.808
0.000 0.000 0.000

---

Cs2CaScCl6 | the Alexandria database | PBE-GGA | optimized geometry; energy relative to the elements, uncorrected = -2081.9 meV per atom; symmetry = Fm-3m, No. 225; calculated density = 3.06 g cm⁻³; electronic total energy = -41.9 eV per cell
1.0
7.560 0.000 0.000
0.000 7.560 0.000
3.780 3.780 5.346
Sc Cl Cs Ca
1 6 2 1
Direct
0.000 0.000 0.000
0.756 0.756 0.488
0.244 0.244 0.512
0.244 0.244 0.000
0.244 0.756 0.000
0.756 0.244 0.000
0.756 0.756 0.000
0.250 0.750 0.500
0.750 0.250 0.500
0.500 0.500 0.000

---

CsCaScCl6 | the Alexandria database | PBE-GGA | optimized geometry; energy relative to the elements, uncorrected = -2228.7 meV per atom; symmetry = P312, No. 149; calculated density = 2.22 g cm⁻³; electronic total energy = -40.3 eV per cell
1.0
-4.758 2.506 -4.406
-6.670 -1.844 0.669
-1.183 5.979 4.678
Cl Ca Cs Sc
6 1 1 1
Direct
0.025 0.611 0.691
0.364 0.025 0.691
0.025 0.364 0.309
0.611 0.364 0.691
0.611 0.025 0.309
0.364 0.611 0.309
0.667 0.667 0.500
0.000 0.000 0.000
0.333 0.333 0.500

---

CsCaSeCl2 | the Alexandria database | PBE-GGA | optimized geometry; energy relative to the elements, uncorrected = -1673.7 meV per atom; symmetry = P4/mmm, No. 123; calculated density = 3.06 g cm⁻³; electronic total energy = -18.4 eV per cell
1.0
5.474 0.000 0.000
0.000 5.474 0.000
0.000 0.000 5.849
Ca Cl Cs Se
1 2 1 1
Direct
0.000 0.000 0.000
0.500 0.000 0.000
0.000 0.500 0.000
0.500 0.500 0.500
0.000 0.000 0.500

---

CsCaSmCl6 | the Alexandria database | PBE-GGA | optimized geometry; energy relative to the elements, uncorrected = -2301.1 meV per atom; symmetry = P-31c, No. 163; calculated density = 2.58 g cm⁻³; electronic total energy = -78.7 eV per cell
1.0
7.244 0.000 0.000
-3.622 6.274 0.000
0.000 0.000 15.154
Cl Cs Ca Sm
12 2 2 2
Direct
0.617 0.996 0.852
0.621 0.617 0.148
0.383 0.004 0.148
0.004 0.383 0.648
0.621 0.004 0.352
0.617 0.621 0.648
0.379 0.996 0.648
0.004 0.621 0.852
0.996 0.617 0.352
0.379 0.383 0.852
0.383 0.379 0.352
0.996 0.379 0.148
0.000 0.000 0.000
0.000 0.000 0.500
0.333 0.667 0.250
0.667 0.333 0.750
0.667 0.333 0.250
0.333 0.667 0.750

---

CsCa2SmCl8 | the Alexandria database | PBE-GGA | optimized geometry; energy relative to the elements, uncorrected = -2242.0 meV per atom; symmetry = P-1, No. 2; calculated density = 2.71 g cm⁻³; electronic total energy = -51.3 eV per cell
1.0
-0.510 3.294 -5.866
0.570 -5.610 -3.334
-8.914 -1.031 0.184
Cl Cs Ca Sm
8 1 2 1
Direct
0.177 0.755 0.796
0.679 0.733 0.000
0.321 0.267 0.000
0.396 0.278 0.500
0.604 0.722 0.500
0.823 0.245 0.204
0.824 0.246 0.796
0.176 0.754 0.204
0.000 0.000 0.500
0.500 0.500 0.254
0.500 0.500 0.746
0.000 0.000 0.000

---

Cs4CaSn3Cl12 | the Alexandria database | PBE-GGA | optimized geometry; energy relative to the elements, uncorrected = -1648.9 meV per atom; symmetry = Im-3m, No. 229; calculated density = 3.21 g cm⁻³; electronic total energy = -72.6 eV per cell
1.0
-8.902 0.702 3.770
-0.245 -5.722 -7.820
6.011 -3.792 6.591
Ca Cl Sn Cs
1 12 3 4
Direct
0.000 0.000 0.000
0.750 0.250 0.500
0.250 0.750 0.500
0.755 0.000 0.755
0.755 0.755 0.000
0.250 0.500 0.750
0.000 0.755 0.755
0.750 0.500 0.250
0.500 0.750 0.250
0.000 0.245 0.245
0.500 0.250 0.750
0.245 0.245 0.000
0.245 0.000 0.245
0.000 0.500 0.500
0.500 0.500 0.000
0.500 0.000 0.500
0.000 0.000 0.500
0.000 0.500 0.000
0.500 0.000 0.000
0.500 0.500 0.500

---

Cs3Ca2SnCl9 | the Alexandria database | PBE-GGA | optimized geometry; energy relative to the elements, uncorrected = -1996.1 meV per atom; symmetry = P-3m1, No. 164; calculated density = 3.00 g cm⁻³; electronic total energy = -57.1 eV per cell
1.0
-3.437 6.397 -2.897
-3.540 -6.947 -0.589
-4.325 1.490 8.422
Cs Ca Cl Sn
3 2 9 1
Direct
0.000 0.000 0.000
0.333 0.667 0.665
0.667 0.333 0.335
0.667 0.333 0.839
0.333 0.667 0.161
0.500 0.500 0.000
0.830 0.170 0.672
0.170 0.830 0.328
0.340 0.170 0.672
0.830 0.660 0.672
0.000 0.500 0.000
0.500 0.000 0.000
0.170 0.340 0.328
0.660 0.830 0.328
0.000 0.000 0.500

---

Cs3SrCa2Cl9 | the Alexandria database | PBE-GGA | optimized geometry; energy relative to the elements, uncorrected = -2287.4 meV per atom; symmetry = P-3m1, No. 164; calculated density = 2.87 g cm⁻³; electronic total energy = -59.2 eV per cell
1.0
7.845 0.000 0.000
-3.923 6.794 0.000
0.000 0.000 9.625
Cl Ca Cs Sr
9 2 3 1
Direct
0.829 0.171 0.674
0.171 0.829 0.326
0.500 0.000 0.000
0.829 0.658 0.674
0.171 0.342 0.326
0.000 0.500 0.000
0.500 0.500 0.000
0.658 0.829 0.326
0.342 0.171 0.674
0.333 0.667 0.161
0.667 0.333 0.839
0.333 0.667 0.669
0.667 0.333 0.331
0.000 0.000 0.000
0.000 0.000 0.500

---

Cs4SrCa3Cl12 | the Alexandria database | PBE-GGA | optimized geometry; energy relative to the elements, uncorrected = -2284.6 meV per atom; symmetry = Im-3m, No. 229; calculated density = 2.86 g cm⁻³; electronic total energy = -79.0 eV per cell
1.0
-8.838 1.511 3.382
2.973 -8.726 2.617
5.956 6.606 3.564
Cs Cl Ca Sr
4 12 3 1
Direct
0.500 0.000 0.000
0.000 0.500 0.000
0.500 0.500 0.500
0.000 0.000 0.500
0.500 0.250 0.750
0.500 0.750 0.250
0.744 0.744 0.000
0.750 0.250 0.500
0.250 0.500 0.750
0.256 0.256 0.000
0.000 0.256 0.256
0.750 0.500 0.250
0.256 0.000 0.256
0.000 0.744 0.744
0.250 0.750 0.500
0.744 0.000 0.744
0.500 0.500 0.000
0.000 0.500 0.500
0.500 0.000 0.500
0.000 0.000 0.000

---

Cs3Sr2CaCl9 | the Alexandria database | PBE-GGA | optimized geometry; energy relative to the elements, uncorrected = -2290.9 meV per atom; symmetry = P-3m1, No. 164; calculated density = 2.88 g cm⁻³; electronic total energy = -58.9 eV per cell
1.0
-2.978 -2.578 6.931
-2.315 -3.382 -6.837
7.290 -6.464 0.729
Cl Cs Sr Ca
9 3 2 1
Direct
0.838 0.676 0.661
0.838 0.162 0.661
0.162 0.838 0.339
0.162 0.324 0.339
0.676 0.838 0.339
0.500 0.000 0.000
0.324 0.162 0.661
0.500 0.500 0.000
0.000 0.500 0.000
0.000 0.000 0.000
0.333 0.667 0.667
0.667 0.333 0.333
0.333 0.667 0.173
0.667 0.333 0.827
0.000 0.000 0.500